No. 1
Ac4AsPdBr2 (GGA-PBE, optimized geometry); theoretical density = 7.64 Mg/m³; raw total energy = -39.296 eV/f.u.
1.0
7.986 0.000 0.000
0.000 4.382 0.000
-2.477 0.000 7.755
Ac As Pd Br
4 1 1 2
direct
0.210 0.000 0.224
0.223 0.500 0.740
0.777 0.500 0.260
0.790 0.000 0.776
0.000 0.000 0.500
0.000 0.500 0.000
0.500 0.000 0.000
0.500 0.500 0.500

---

No. 2
Pr2HoInO (GGA-PBE, optimized geometry); theoretical density = 7.91 Mg/m³; raw total energy = -28.795 eV/f.u.
1.0
5.071 0.000 0.000
0.000 5.071 0.000
0.000 0.000 4.713
Pr Ho In O
2 1 1 1
direct
0.000 0.500 0.000
0.500 0.000 0.000
0.000 0.000 0.500
0.500 0.500 0.500
0.000 0.000 0.000

---

No. 3
LiGeW2S (GGA-PBE, optimized geometry); theoretical density = 9.86 Mg/m³; raw total energy = -33.491 eV/f.u.
1.0
4.511 0.000 0.000
0.000 4.511 0.000
0.000 0.000 3.966
Li Ge W S
1 1 2 1
direct
0.000 0.000 0.000
0.500 0.500 0.000
0.000 0.500 0.500
0.500 0.000 0.500
0.000 0.000 0.500

---

No. 4
ZnGa2Sb (GGA-PBE, optimized geometry); theoretical density = 6.28 Mg/m³; raw total energy = -11.065 eV/f.u.
1.0
4.378 0.000 0.000
-2.189 3.791 0.000
0.000 0.000 15.608
Zn Ga Sb
3 6 3
direct
0.000 0.000 0.000
0.333 0.667 0.667
0.667 0.333 0.333
0.000 0.000 0.265
0.000 0.000 0.735
0.333 0.667 0.402
0.333 0.667 0.932
0.667 0.333 0.068
0.667 0.333 0.598
0.000 0.000 0.500
0.333 0.667 0.167
0.667 0.333 0.833

---

No. 5
Hg4OF3 (GGA-PBE, optimized geometry); theoretical density = 9.45 Mg/m³; raw total energy = -18.529 eV/f.u.
1.0
7.948 0.000 0.000
0.000 6.724 0.000
0.000 0.000 5.754
Hg O F
8 2 6
direct
0.000 0.101 0.000
0.000 0.896 0.605
0.240 0.354 0.445
0.260 0.646 0.945
0.500 0.104 0.105
0.500 0.899 0.500
0.740 0.646 0.945
0.760 0.354 0.445
0.000 0.208 0.364
0.500 0.792 0.864
0.000 0.510 0.939
0.195 0.723 0.375
0.305 0.277 0.875
0.500 0.490 0.439
0.695 0.277 0.875
0.805 0.723 0.375

---

No. 6
AlNiMo2 (GGA-PBE, optimized geometry); theoretical density = 8.04 Mg/m³; ΔE_f = -0.102 eV/atom; raw total energy = -31.595 eV/f.u.
1.0
2.686 0.000 0.000
0.000 4.127 0.000
-0.270 0.000 5.169
Al Ni Mo
1 1 2
direct
0.000 0.000 0.000
0.000 0.000 0.500
0.492 0.500 0.746
0.508 0.500 0.254

---

Which value of raw total energy does entry 6 give? -31.595 eV/f.u.

---

Copy entry 4 word for word.
ZnGa2Sb (GGA-PBE, optimized geometry); theoretical density = 6.28 Mg/m³; raw total energy = -11.065 eV/f.u.
1.0
4.378 0.000 0.000
-2.189 3.791 0.000
0.000 0.000 15.608
Zn Ga Sb
3 6 3
direct
0.000 0.000 0.000
0.333 0.667 0.667
0.667 0.333 0.333
0.000 0.000 0.265
0.000 0.000 0.735
0.333 0.667 0.402
0.333 0.667 0.932
0.667 0.333 0.068
0.667 0.333 0.598
0.000 0.000 0.500
0.333 0.667 0.167
0.667 0.333 0.833

---

raw total energy of number 2 (Pr2HoInO)? -28.795 eV/f.u.

---

theoretical density of number 6 (AlNiMo2)? 8.04 Mg/m³